# DyTmGa6

A relaxed structure of DyTmGa6 (GGA-PBE, Alexandria via LeMat-Bulk).

Space group: No. 38
Volume: 153.7 Å³/f.u.
Energy of formation: -0.51 eV per atom
Total moment: 0.000 μB/atom

a b c (Å): 4.5931 6.2138 6.2138
angles (deg): 60.07 90.00 90.00
With the nearest neighbours (Å) after each atom.
Sites, in units of the cell vectors:
Dy (0.0000, 0.0000, 0.0000)  12 Ga 3.04-3.12
Tm (0.5000, 0.6674, 0.6674)  12 Ga 3.03-3.12
Ga (0.0000, 0.0360, 0.4823)  6 Ga 2.78-2.80, 2 Tm 3.04
Ga (0.0000, 0.4823, 0.0360)  6 Ga 2.78-2.80, 2 Tm 3.04
Ga (0.0000, 0.4830, 0.4830)  6 Ga 2.78-2.80, 2 Tm 3.03
Ga (0.5000, 0.1858, 0.1858)  6 Ga 2.75-2.80, 2 Dy 3.04
Ga (0.5000, 0.1865, 0.6286)  6 Ga 2.75-2.80, 2 Dy 3.05
Ga (0.5000, 0.6286, 0.1865)  6 Ga 2.75-2.80, 2 Dy 3.05